# LiTl2Br4, relaxed, DFT PBE-GGA
# Energy above the lowest structure with this stoichiometry = 93.9 meV per atom
# Energy relative to the elements, uncorrected = -0.77 eV/atom
# Total energy = -2.671 eV per atom
# Volume = 36.572 A^3/atom
# Magnetization = 0.00 μB/atom
# ρ = 4.8 g/cm³
data_LiTl2Br4
_space_group_name_H-M_alt 'I 4/m m m'
_space_group_IT_number 139
_space_group_name_Hall '-I 4 2'
_cell_length_a 4.825
_cell_length_b 4.825
_cell_length_c 21.989
_cell_angle_alpha 90.00
_cell_angle_beta 90.00
_cell_angle_gamma 90.00
loop_
_atom_site_label
_atom_site_fract_x
_atom_site_fract_y
_atom_site_fract_z
Li1 0.000 0.000 0.000
Tl1 0.000 0.000 0.174
Br1 0.000 0.000 0.315
Br2 0.000 0.500 0.000

=====

# LiTl5Br6, relaxed, DFT PBE-GGA
# Energy relative to the elements, uncorrected = -0.95 eV/atom
# Total energy = -2.927 eV per atom
# Volume = 35.208 A^3/atom
# Magnetization = 0.00 μB/atom
# ρ = 5.9 g/cm³
data_LiTl5Br6
_space_group_name_H-M_alt 'C 1 2/m 1'
_space_group_IT_number 12
_space_group_name_Hall '-C 2y'
_cell_length_a 8.107
_cell_length_b 13.806
_cell_length_c 8.013
_cell_angle_alpha 90.00
_cell_angle_beta 109.57
_cell_angle_gamma 90.00
loop_
_atom_site_label
_atom_site_fract_x
_atom_site_fract_y
_atom_site_fract_z
Li1 0.000 0.000 0.000
Tl1 0.000 0.171 0.500
Tl2 0.000 0.334 0.000
Tl3 0.000 0.500 0.500
Br1 0.217 0.146 0.219
Br2 0.224 0.000 0.749

=====

# LiTlBr2, relaxed, DFT PBE-GGA
# Energy above the lowest structure with this stoichiometry = 28.1 meV per atom
# Energy relative to the elements, uncorrected = -1.15 eV/atom
# Total energy = -3.053 eV per atom
# Volume = 28.699 A^3/atom
# Magnetization = 0.00 μB/atom
# ρ = 5.4 g/cm³
data_LiTlBr2
_space_group_name_H-M_alt 'C 1 2/m 1'
_space_group_IT_number 12
_space_group_name_Hall '-C 2y'
_cell_length_a 7.307
_cell_length_b 4.194
_cell_length_c 7.879
_cell_angle_alpha 90.00
_cell_angle_beta 108.03
_cell_angle_gamma 90.00
loop_
_atom_site_label
_atom_site_fract_x
_atom_site_fract_y
_atom_site_fract_z
Li1 0.000 0.000 0.000
Tl1 0.000 0.500 0.500
Br1 0.231 0.500 0.198

=====

Which of these has the lowest volume?
LiTlBr2

=====

Which of these has the lowest volume?
LiTlBr2

=====

What is the energy relative to the elements, uncorrected in the third record?
-1.15 eV/atom